1.
# BaCa2Ir

A relaxed structure of BaCa2Ir (PBE, Alexandria).

a b c (Å): 4.267 6.724 6.727
angles (deg): 55.51 90.00 90.00
Sites, in units of the cell vectors:
Ca: 0.000 0.098 0.099
Ca: 0.000 0.402 0.401
Ba: 0.500 0.750 0.750
Ir: 0.500 0.250 0.250

Properties
E_tot: -3.8233 eV per atom
Energy relative to the elements: -0.1265 eV/atom
Offset from the most stable computed form: 0.1125 eV/atom
SG: Cmmm

2.
# Ba12ZnHg6

A relaxed structure of Ba12ZnHg6 (PBE, Alexandria).

a b c (Å): 10.033 10.033 10.033
angles (deg): 100.20 100.20 100.20
Sites, in units of the cell vectors:
Ba: 0.072 0.957 0.320
Ba: 0.429 0.823 0.581
Ba: 0.957 0.320 0.072
Ba: 0.177 0.419 0.571
Ba: 0.928 0.043 0.680
Ba: 0.419 0.571 0.177
Ba: 0.823 0.581 0.429
Ba: 0.680 0.928 0.043
Ba: 0.581 0.429 0.823
Ba: 0.571 0.177 0.419
Ba: 0.320 0.072 0.957
Ba: 0.043 0.680 0.928
Zn: 0.000 0.000 0.000
Hg: 0.374 0.691 0.865
Hg: 0.626 0.309 0.135
Hg: 0.865 0.374 0.691
Hg: 0.309 0.135 0.626
Hg: 0.135 0.626 0.309
Hg: 0.691 0.865 0.374

Properties
E_tot: -1.6162 eV per atom
Energy relative to the elements: -0.2395 eV/atom
SG: R-3

3.
# GaAg14Au

A relaxed structure of GaAg14Au (PBE, Alexandria).

a b c (Å): 5.862 5.862 9.588
angles (deg): 90.00 90.00 120.32
Sites, in units of the cell vectors:
Ag: 0.374 0.124 0.251
Ag: 0.876 0.124 0.750
Ag: 0.208 0.290 0.000
Ag: 0.375 0.625 0.753
Ag: 0.710 0.792 0.000
Ag: 0.375 0.625 0.247
Ag: 0.041 0.459 0.500
Ag: 0.876 0.626 0.251
Ag: 0.876 0.124 0.250
Ag: 0.876 0.626 0.749
Ag: 0.374 0.124 0.749
Ag: 0.541 0.959 0.500
Ag: 0.709 0.291 0.000
Ag: 0.208 0.792 0.000
Au: 0.541 0.459 0.500
Ga: 0.039 0.961 0.500

Properties
E_tot: -2.8866 eV per atom
Energy relative to the elements: 0.0023 eV/atom
SG: Amm2

Which of these has the lowest E_tot? BaCa2Ir